# CsPm2Sm

An optimized crystal structure of CsPm2Sm (PBE, Alexandria via LeMat-Bulk).

Properties
**Density**: 5.9 g/cm3
**Energy**: -3.483 eV/atom
**Density of states at the Fermi level**: 14.75 states/eV per cell

Cell lengths 3.7258, 3.7258, 40.2706 Å; angles 90.00, 90.00, 120.00 degrees
With the nearest neighbours (Å) after each atom.
Space group R-3m (No. 166, hexagonal axes)
One atom of each set of equivalent atoms:
Cs 0.0000 0.0000 0.0000 [3 per cell]  6 Cs 3.73, 2 Pm 3.83
Pm 0.0000 0.0000 0.0951 [6 per cell]  3 Sm 3.60, 6 Pm 3.73, 1 Cs 3.83
Sm 0.0000 0.0000 0.5000 [3 per cell]  6 Pm 3.60, 6 Sm 3.73

=====

# NaLiMg2P

An optimized crystal structure of NaLiMg2P (PBE, Alexandria via LeMat-Bulk).

Properties
**Density**: 1.6 g/cm3
**Energy**: -2.240 eV/atom
**Density of states at the Fermi level**: 2.73 states/eV per cell

Cell lengths 4.9724, 4.9724, 4.4664 Å; angles 90.00, 90.00, 90.00 degrees
With the nearest neighbours (Å) after each atom.
Space group P4/mmm (No. 123)
One atom of each set of equivalent atoms:
Na 0.0000 0.0000 0.0000 [1 per cell]  8 Mg 3.34, 4 P 3.52
Li 0.5000 0.5000 0.5000 [1 per cell]  2 P 2.23, 4 Mg 2.49
Mg 0.0000 0.5000 0.5000 [2 per cell]  2 Li 2.49
P 0.5000 0.5000 0.0000 [1 per cell]  2 Li 2.23

=====

# SrSc2Hg

An optimized crystal structure of SrSc2Hg (PBE, Alexandria via LeMat-Bulk).

Properties
**Energy above the most stable polymorph in this dataset**: 0.559 eV/atom
**Density**: 4.3 g/cm3
**Density of states at the Fermi level**: 21.13 states/eV per cell

Cell lengths 5.3760, 5.3760, 20.3921 Å; angles 90.00, 90.00, 90.00 degrees
With the nearest neighbours (Å) after each atom.
Space group I4_1/amd (No. 141, origin choice 2)
One atom of each set of equivalent atoms:
Sr 0.0000 0.2500 0.3750 [4 per cell]  4 Hg 3.80, 8 Sc 3.94
Sc 0.0000 0.0000 0.0000 [8 per cell]  2 Sc 2.69, 2 Hg 2.88
Hg 0.0000 0.2500 0.8750 [4 per cell]  4 Sc 2.88

=====

Question: density of states at the Fermi level of number 2 (NaLiMg2P)?
Answer: 2.73 states/eV per cell